DFT (PBE) results for PuNpCu4 after structural relaxation.

Cell: 5.205 5.205 5.205 Å, 60.00 60.00 60.00°
Atoms (fractional coordinates):
Pu 0.000 0.000 0.000
Np 0.250 0.250 0.250
Cu 0.625 0.124 0.625
Cu 0.625 0.625 0.625
Cu 0.124 0.625 0.625
Cu 0.625 0.625 0.124

## Properties
The energy of formation is 0.101 eV/atom. As for the density: 12.2 g/cm³. The value obtained for the total energy is -43.1 eV/cell.